[1]
Entry from Alexandria: an optimized crystal structure of CoPIr2 (GGA-PBE).

DFT formation energy: 0.04 eV/atom

Geometry as POSCAR:
```
CoPIr2
1.0
2.822 0.000 0.000
0.000 2.822 0.000
0.000 0.000 6.649
Co Ir P
1 2 1
direct
0.500 0.500 0.750 Co
0.000 0.000 0.024 Ir
0.000 0.000 0.476 Ir
0.500 0.500 0.250 P
```



[2]
Entry from Alexandria: an optimized crystal structure of KHg3Br (GGA-PBE).

Formation energy without anion corrections: -0.17 eV/atom

Geometry as POSCAR:
```
KHg3Br
1.0
-0.120 6.084 -2.567
-6.067 -1.116 -2.361
-2.609 2.315 5.609
K Hg Br
1 3 1
direct
0.500 0.500 0.500 K
0.000 0.500 0.000 Hg
0.000 0.000 0.500 Hg
0.500 0.000 0.000 Hg
0.000 0.000 0.000 Br
```